# 1
Computed, not measured: crystalline Ca2TlMo at its relaxed geometry at the PBE-GGA level of DFT.

Geometry as POSCAR:
```
Ca2TlMo
1.0
5.272 0.000 0.000
2.636 4.565 0.000
2.636 1.522 4.304
Mo Ca Tl
1 2 1
direct
0.500 0.500 0.500
0.250 0.250 0.250
0.000 0.000 0.000
0.750 0.750 0.750
```

Values from the calculation:
**ΔE_f**: 2.02 eV per formula unit
**Energy above the lowest structure with this stoichiometry**: 102 meV per atom
**E**: -3.7946 eV/atom

=====

# 2
Computed, not measured: crystalline CaTlMo at its relaxed geometry at the PBE-GGA level of DFT.

Geometry as POSCAR:
```
CaTlMo
1.0
4.908 0.000 0.000
2.454 4.250 0.000
2.454 1.417 4.007
Mo Ca Tl
1 1 1
direct
0.750 0.750 0.750
0.500 0.500 0.500
0.000 0.000 0.000
```

Values from the calculation:
**ΔE_f**: 2.66 eV per formula unit
**Energy above the lowest structure with this stoichiometry**: 347 meV per atom
**E**: -4.1807 eV/atom

=====

# 3
Computed, not measured: crystalline Ca2TlMo at its relaxed geometry at the PBE-GGA level of DFT.

Geometry as POSCAR:
```
Ca2TlMo
1.0
3.230 0.000 0.000
0.000 3.230 0.000
0.000 0.000 10.029
Mo Ca Tl
1 2 1
direct
0.000 0.000 0.523
0.500 0.500 0.294
0.000 0.000 0.962
0.500 0.500 0.721
```

Values from the calculation:
**ΔE_f**: 2.02 eV per formula unit
**Energy above the lowest structure with this stoichiometry**: 100 meV per atom
**E**: -3.7957 eV/atom

=====

# 4
Computed, not measured: crystalline Ca2TlMo at its relaxed geometry at the PBE-GGA level of DFT.

Geometry as POSCAR:
```
Ca2TlMo
1.0
4.761 0.000 0.000
0.000 4.761 0.000
0.000 0.000 4.596
Mo Ca Tl
1 2 1
direct
0.500 0.000 0.500
0.500 0.500 0.000
0.000 0.000 0.000
0.000 0.500 0.500
```

Values from the calculation:
**ΔE_f**: 1.92 eV per formula unit
**Energy above the lowest structure with this stoichiometry**: 76 meV per atom
**E**: -3.8200 eV/atom

=====

- Which formula does entry 2 have?
  CaTlMo

=====

- ΔE_f of number 4 (Ca2TlMo)?
  1.92 eV per formula unit